No. 1
# Zr4W3 PBE-GGA relaxed
# Crystal system: hexagonal
data_Zr4W3
_space_group_name_H-M_alt 'P 6/m m m'
_space_group_IT_number 191
_space_group_name_Hall '-P 6 2'
_cell_length_a 5.3218
_cell_length_b 5.3218
_cell_length_c 5.6742
_cell_angle_alpha 90.00
_cell_angle_beta 90.00
_cell_angle_gamma 120.00
loop_
_atom_site_label
_atom_site_type_symbol
_atom_site_fract_x
_atom_site_fract_y
_atom_site_fract_z
Zr1 Zr 0.0000 0.0000 0.2364
Zr2 Zr 0.3333 0.6667 0.0000
W1 W 0.0000 0.5000 0.5000

---

No. 2
# Zr7W PBE-GGA relaxed
# Crystal system: cubic
data_Zr7W
_space_group_name_H-M_alt 'F m -3 m'
_space_group_IT_number 225
_space_group_name_Hall '-F 4 2 3'
_cell_length_a 8.904
_cell_length_b 8.904
_cell_length_c 8.904
_cell_angle_alpha 90.00
_cell_angle_beta 90.00
_cell_angle_gamma 90.00
loop_
_atom_site_label
_atom_site_type_symbol
_atom_site_fract_x
_atom_site_fract_y
_atom_site_fract_z
Zr1 Zr 0.000 0.000 0.000
Zr2 Zr 0.000 0.250 0.250
W1 W 0.000 0.000 0.500

---

No. 3
# ZrW2 PBE-GGA relaxed
# Crystal system: hexagonal
data_ZrW2
_space_group_name_H-M_alt 'P -6 2 m'
_space_group_IT_number 189
_space_group_name_Hall 'P -6 -2'
_cell_length_a 6.6309
_cell_length_b 6.6309
_cell_length_c 4.5533
_cell_angle_alpha 90.00
_cell_angle_beta 90.00
_cell_angle_gamma 120.00
loop_
_atom_site_label
_atom_site_type_symbol
_atom_site_fract_x
_atom_site_fract_y
_atom_site_fract_z
Zr1 Zr 0.0000 0.0000 0.0000
Zr2 Zr 0.3333 0.6667 0.5000
W1 W 0.0000 0.2286 0.5000
W2 W 0.0000 0.4947 0.0000

---

No. 4
# Zr2W3 PBE-GGA relaxed
# Crystal system: orthorhombic
data_Zr2W3
_space_group_name_H-M_alt 'F d d 2'
_space_group_IT_number 43
_space_group_name_Hall 'F 2 -2d'
_cell_length_a 10.052
_cell_length_b 14.045
_cell_length_c 5.613
_cell_angle_alpha 90.00
_cell_angle_beta 90.00
_cell_angle_gamma 90.00
loop_
_atom_site_label
_atom_site_type_symbol
_atom_site_fract_x
_atom_site_fract_y
_atom_site_fract_z
Zr1 Zr 0.075 0.197 0.000
W1 W 0.000 0.000 0.200
W2 W 0.071 0.118 0.514

---

No. 5
# ZrW2 PBE-GGA relaxed
# Crystal system: trigonal
data_ZrW2
_space_group_name_H-M_alt 'P -3 m 1'
_space_group_IT_number 164
_space_group_name_Hall '-P 3 2"'
_cell_length_a 4.6071
_cell_length_b 4.6071
_cell_length_c 2.9063
_cell_angle_alpha 90.00
_cell_angle_beta 90.00
_cell_angle_gamma 120.00
loop_
_atom_site_label
_atom_site_type_symbol
_atom_site_fract_x
_atom_site_fract_y
_atom_site_fract_z
Zr1 Zr 0.0000 0.0000 0.0000
W1 W 0.3333 0.6667 0.3557

---

No. 6
# Zr3W2 PBE-GGA relaxed
# Crystal system: trigonal
data_Zr3W2
_space_group_name_H-M_alt 'P -3 m 1'
_space_group_IT_number 164
_space_group_name_Hall '-P 3 2"'
_cell_length_a 4.8145
_cell_length_b 4.8145
_cell_length_c 5.4700
_cell_angle_alpha 90.00
_cell_angle_beta 90.00
_cell_angle_gamma 120.00
loop_
_atom_site_label
_atom_site_type_symbol
_atom_site_fract_x
_atom_site_fract_y
_atom_site_fract_z
Zr1 Zr 0.0000 0.0000 0.0000
Zr2 Zr 0.3333 0.6667 0.3630
W1 W 0.3333 0.6667 0.8817

---

No. 7
# ZrW2 PBE-GGA relaxed
# Crystal system: orthorhombic
data_ZrW2
_space_group_name_H-M_alt 'I m m m'
_space_group_IT_number 71
_space_group_name_Hall '-I 2 2'
_cell_length_a 2.725
_cell_length_b 4.816
_cell_length_c 8.267
_cell_angle_alpha 90.00
_cell_angle_beta 90.00
_cell_angle_gamma 90.00
loop_
_atom_site_label
_atom_site_type_symbol
_atom_site_fract_x
_atom_site_fract_y
_atom_site_fract_z
Zr1 Zr 0.000 0.000 0.000
W1 W 0.000 0.000 0.336

---

No. 8
# ZrW2 PBE-GGA relaxed
# Crystal system: triclinic
data_ZrW2
_space_group_name_H-M_alt 'P -1'
_space_group_IT_number 2
_space_group_name_Hall '-P 1'
_cell_length_a 3.256
_cell_length_b 4.712
_cell_length_c 14.218
_cell_angle_alpha 80.59
_cell_angle_beta 83.54
_cell_angle_gamma 89.99
loop_
_atom_site_label
_atom_site_type_symbol
_atom_site_fract_x
_atom_site_fract_y
_atom_site_fract_z
Zr1 Zr 0.042 0.292 0.417
Zr2 Zr 0.206 0.456 0.089
W1 W 0.126 0.876 0.249
W2 W 0.291 0.041 0.918
W3 W 0.375 0.626 0.750
W4 W 0.453 0.202 0.596

---

No. 9
# Zr4W3 PBE-GGA relaxed
# Crystal system: tetragonal
data_Zr4W3
_space_group_name_H-M_alt 'I 4/m m m'
_space_group_IT_number 139
_space_group_name_Hall '-I 4 2'
_cell_length_a 3.293
_cell_length_b 3.293
_cell_length_c 25.399
_cell_angle_alpha 90.00
_cell_angle_beta 90.00
_cell_angle_gamma 90.00
loop_
_atom_site_label
_atom_site_type_symbol
_atom_site_fract_x
_atom_site_fract_y
_atom_site_fract_z
Zr1 Zr 0.000 0.000 0.066
Zr2 Zr 0.000 0.000 0.350
W1 W 0.000 0.000 0.222
W2 W 0.000 0.000 0.500

---

No. 10
# ZrW2 PBE-GGA relaxed
# Crystal system: monoclinic
data_ZrW2
_space_group_name_H-M_alt 'C 1 2/m 1'
_space_group_IT_number 12
_space_group_name_Hall '-C 2y'
_cell_length_a 10.374
_cell_length_b 3.251
_cell_length_c 6.743
_cell_angle_alpha 90.00
_cell_angle_beta 109.21
_cell_angle_gamma 90.00
loop_
_atom_site_label
_atom_site_type_symbol
_atom_site_fract_x
_atom_site_fract_y
_atom_site_fract_z
Zr1 Zr 0.162 0.000 0.087
W1 W 0.000 0.500 0.270
W2 W 0.161 0.000 0.571

---

No. 11
# Zr3W5 PBE-GGA relaxed
# Crystal system: monoclinic
data_Zr3W5
_space_group_name_H-M_alt 'P 1 m 1'
_space_group_IT_number 6
_space_group_name_Hall 'P -2y'
_cell_length_a 7.846
_cell_length_b 5.321
_cell_length_c 7.945
_cell_angle_alpha 90.00
_cell_angle_beta 112.70
_cell_angle_gamma 90.00
loop_
_atom_site_label
_atom_site_type_symbol
_atom_site_fract_x
_atom_site_fract_y
_atom_site_fract_z
Zr1 Zr 0.000 0.000 0.000
Zr2 Zr 0.011 0.500 0.257
Zr3 Zr 0.185 0.500 0.938
Zr4 Zr 0.219 0.000 0.480
Zr5 Zr 0.692 0.500 0.415
Zr6 Zr 0.740 0.000 0.256
W1 W 0.322 0.000 0.909
W2 W 0.372 0.242 0.253
W3 W 0.405 0.500 0.608
W4 W 0.578 0.500 0.018
W5 W 0.623 0.000 0.878
W6 W 0.643 0.000 0.574
W7 W 0.767 0.500 0.804
W8 W 0.993 0.240 0.631

---

No. 12
# ZrW2 PBE-GGA relaxed
# Crystal system: tetragonal
data_ZrW2
_space_group_name_H-M_alt 'I 4/m m m'
_space_group_IT_number 139
_space_group_name_Hall '-I 4 2'
_cell_length_a 3.245
_cell_length_b 3.245
_cell_length_c 10.246
_cell_angle_alpha 90.00
_cell_angle_beta 90.00
_cell_angle_gamma 90.00
loop_
_atom_site_label
_atom_site_type_symbol
_atom_site_fract_x
_atom_site_fract_y
_atom_site_fract_z
Zr1 Zr 0.000 0.000 0.000
W1 W 0.000 0.000 0.320

---

no.,total DFT energy (no corrections) (eV per atom),calculated volume (Å³ per cell)
1,-10.44,139.2
2,-8.92,705.8
3,-10.59,173.4
4,-10.86,792.5
5,-11.37,53.4
6,-9.88,109.8
7,-11.11,108.5
8,-11.34,213.8
9,-10.32,275.4
10,-11.39,214.7
11,-10.91,306.0
12,-11.44,107.9